4
Lattice="1.482 0.856 7.684 -1.482 0.856 7.684 0.000 -1.711 7.684" Properties=species:S:1:pos:R:3 comment="PBE+U FeS2O, optimized geometry" n_ef_per_ev_atom=0.66 e_tot_ev_per_cell=-14.7 pbc="T T T"
Fe 0.000 0.000 0.000
S 0.000 0.000 2.276
S 0.000 0.000 20.775
O 0.000 0.000 11.525